CuP4S3Br after structural relaxation, computed with GGA-PBEsol.

Summary:
The energy relative to the elements, uncorrected is -0.206 eV per atom. Its final energy is -177.52 eV/cell.

a = 6.254 Å, b = 9.138 Å, c = 15.625 Å
α = 98.58°, β = 98.10°, γ = 106.14°
Space group P-1 (No. 2)
Unique sites:
Cu 0.004 0.388 0.206 x2
Cu 0.361 0.158 0.083 x2
P 0.015 0.387 0.824 x2
P 0.122 0.689 0.678 x2
P 0.137 0.860 0.508 x2
P 0.143 0.060 0.808 x2
P 0.152 0.949 0.122 x2
P 0.198 0.183 0.951 x2
P 0.353 0.612 0.596 x2
P 0.474 0.847 0.689 x2
S 0.083 0.228 0.408 x2
S 0.141 0.242 0.740 x2
S 0.225 0.414 0.947 x2
S 0.249 0.664 0.474 x2
S 0.284 0.777 0.160 x2
S 0.418 0.999 0.606 x2
Br 0.243 0.807 0.919 x2
Br 0.381 0.384 0.192 x2